An optimized crystal structure of Tb4PrY6, computed with PBE.

```
data_Tb4PrY6
_cell_length_a 10.9794
_cell_length_b 10.9794
_cell_length_c 3.5769
_cell_angle_alpha 90.00
_cell_angle_beta 90.00
_cell_angle_gamma 120.00
_symmetry_space_group_name_H-M 'P -6 m 2'
_symmetry_Int_Tables_number 187
_symmetry_space_group_name_Hall 'P -6 2'
loop_
_atom_site_label
_atom_site_type_symbol
_atom_site_fract_x
_atom_site_fract_y
_atom_site_fract_z
Tb1 Tb 0.0000 0.0000 0.0000
Tb2 Tb 0.5027 0.0055 0.5000
Pr1 Pr 0.6667 0.3333 0.0000
Y1 Y 0.1836 0.3671 0.0000
Y2 Y 0.3004 0.1502 0.5000
```

## Properties
- M_tot (μB per formula unit) = 0.000
- formation energy from the elements (eV/atom) = 0.17
- raw total energy (eV per atom) = -5.477